No. 1
{"formula": "Sr3GeW", "functional": "SCAN", "state": "PBEsol geometry", "cell": [[5.9155, 0.0000, 0.0000], [0.0000, 5.9155, 0.0000], [0.0000, 0.0000, 5.9155]], "species": ["Sr", "Sr", "Sr", "Ge", "W"], "fractional_positions": [[0.0000, 0.0000, 0.5000], [0.0000, 0.5000, 0.0000], [0.5000, 0.0000, 0.0000], [0.0000, 0.0000, 0.0000], [0.5000, 0.5000, 0.5000]], "energy_ev_per_atom": -30.163, "space_group": "No. 221", "e_form_kj_per_mol_atoms": 92.37}

No. 2
{"formula": "KMg2In", "functional": "SCAN", "state": "PBEsol geometry", "cell": [[3.3170, 0.0000, 0.0000], [0.0000, 5.0017, 0.0000], [-1.5080, 0.0000, 7.0181]], "species": ["K", "Mg", "Mg", "In"], "fractional_positions": [[0.0000, 0.0000, 0.0000], [0.3088, 0.5000, 0.6958], [0.6912, 0.5000, 0.3042], [0.5000, 0.0000, 0.5000]], "energy_ev_per_atom": -12.877, "space_group": "No. 10", "e_form_kj_per_mol_atoms": 3.69}

No. 3
{"formula": "YBe2Ni", "functional": "SCAN", "state": "PBEsol geometry", "cell": [[2.8935, 0.0000, 0.0000], [0.0000, 2.8935, 0.0000], [0.0000, 0.0000, 6.2814]], "species": ["Y", "Be", "Be", "Ni"], "fractional_positions": [[0.0000, 0.0000, 0.0000], [0.5000, 0.5000, 0.3323], [0.5000, 0.5000, 0.6677], [0.0000, 0.0000, 0.5000]], "energy_ev_per_atom": -13.236, "space_group": "No. 123", "e_form_kj_per_mol_atoms": -5.33}

No. 4
{"formula": "Y6MnBi2", "functional": "SCAN", "state": "PBEsol geometry", "cell": [[8.2084, 0.0000, 0.0000], [-4.1042, 7.1087, 0.0000], [0.0000, 0.0000, 4.2176]], "species": ["Y", "Y", "Y", "Y", "Y", "Y", "Mn", "Bi", "Bi"], "fractional_positions": [[0.0000, 0.3954, 0.0000], [0.0000, 0.7666, 0.5000], [0.2334, 0.2334, 0.5000], [0.3954, 0.0000, 0.0000], [0.6046, 0.6046, 0.0000], [0.7666, 0.0000, 0.5000], [0.0000, 0.0000, 0.0000], [0.3333, 0.6667, 0.5000], [0.6667, 0.3333, 0.5000]], "energy_ev_per_atom": -38.627, "space_group": "No. 189", "e_form_kj_per_mol_atoms": -55.40}

Which formula does entry 1 have?
Sr3GeW